Record 1
Here is a relaxed structure of Ni2Sn from the Open Quantum Materials Database. Energies are from PBE.

Cell: 7.022 7.022 3.033 Å, 90.00 90.00 120.00°
Positions (direct):
1 Sn 0.000 0.000 0.500
2 Ni 0.000 0.628 0.500
3 Ni 0.628 0.000 0.500
4 Ni 0.000 0.293 0.000
5 Ni 0.707 0.707 0.000
6 Ni 0.372 0.372 0.500
7 Sn 0.333 0.667 0.000
8 Sn 0.667 0.333 0.000
9 Ni 0.293 0.000 0.000

Calculated values
Calculated volume (Å³ per atom): 14.4
DFT total energy (eV for the cell shown): -46.26



Record 2
Here is a relaxed structure of Ni2Sn from the Open Quantum Materials Database. Energies are from PBE.

Cell: 7.944 7.944 7.944 Å, 60.00 60.00 60.00°
Last column: magnetic moment on the atom in μB.
Positions (direct):
1 Sn 0.250 0.250 0.250  -0.05
2 Ni 0.375 0.375 0.375  0.76
3 Ni 0.375 0.875 0.375  0.67
4 Ni 0.875 0.375 0.375  0.46
5 Ni 0.375 0.375 0.875  0.81
6 Sn 0.500 0.500 0.500  -0.05

Calculated values
Calculated volume (Å³ per atom): 59.1
DFT total energy (eV for the cell shown): -19.56



Record 3
Here is a relaxed structure of NiSn4 from the Open Quantum Materials Database. Energies are from PBE.

Cell: 6.331 6.331 5.792 Å, 90.00 90.00 90.00°
Positions (direct):
1 Sn 0.819 0.319 0.749
2 Ni 0.000 0.000 0.000
3 Sn 0.681 0.819 0.749
4 Sn 0.181 0.319 0.251
5 Sn 0.319 0.819 0.251
6 Sn 0.681 0.181 0.251
7 Ni 0.500 0.500 0.000
8 Sn 0.181 0.681 0.749
9 Sn 0.319 0.181 0.749
10 Sn 0.819 0.681 0.251

Calculated values
Calculated volume (Å³ per atom): 23.2
DFT total energy (eV for the cell shown): -44.13



Record 4
Here is a relaxed structure of NiSn3 from the Open Quantum Materials Database. Energies are from PBE.

Cell: 5.028 5.028 5.028 Å, 60.00 60.00 60.00°
Positions (direct):
1 Ni 0.750 0.750 0.750
2 Sn 0.000 0.000 0.000
3 Sn 0.250 0.250 0.250
4 Sn 0.500 0.500 0.500

Calculated values
Calculated volume (Å³ per atom): 22.5
DFT total energy (eV for the cell shown): -16.45



Record 5
Here is a relaxed structure of Ni7Sn from the Open Quantum Materials Database. Energies are from PBE.

Cell: 2.897 2.897 31.154 Å, 90.00 90.00 90.00°
Last column: magnetic moment on the atom in μB.
Positions (direct):
1 Ni 0.000 0.000 0.729  -0.48
2 Ni 0.000 0.000 0.479  -0.58
3 Ni 0.000 0.000 0.396  -0.59
4 Ni 0.500 0.500 0.772  -0.11
5 Ni 0.000 0.000 0.228  -0.11
6 Ni 0.500 0.500 0.437  -0.56
7 Ni 0.500 0.500 0.354  -0.52
8 Ni 0.500 0.500 0.687  -0.56
9 Sn 0.500 0.500 0.171  0.01
10 Sn 0.000 0.000 0.829  0.01
11 Ni 0.500 0.500 0.604  -0.58
12 Ni 0.000 0.000 0.646  -0.52
13 Ni 0.500 0.500 0.522  -0.58
14 Ni 0.000 0.000 0.563  -0.56
15 Ni 0.000 0.000 0.312  -0.56
16 Ni 0.500 0.500 0.271  -0.49

Calculated values
Calculated volume (Å³ per atom): 16.3
DFT total energy (eV for the cell shown): -84.44



Record 6
Here is a relaxed structure of NiSn2 from the Open Quantum Materials Database. Energies are from PBE.

Cell: 5.915 5.915 5.915 Å, 60.00 60.00 60.00°
Positions (direct):
1 Ni 0.250 0.250 0.250
2 Sn 0.125 0.625 0.625
3 Sn 0.625 0.625 0.625
4 Ni 0.000 0.000 0.000
5 Sn 0.625 0.625 0.125
6 Sn 0.625 0.125 0.625

Calculated values
Calculated volume (Å³ per atom): 24.4
DFT total energy (eV for the cell shown): -22.05